This record from the Alexandria database describes Lu3Hf after structural relaxation. The functional is PBE.

Geometry as POSCAR:
```
Lu3Hf
1.0
3.411 0.000 0.000
0.000 5.331 0.000
0.000 0.000 5.967
Lu Hf
3 1
direct
0.000 0.000 0.000 Lu
0.000 0.500 0.336 Lu
0.500 0.500 0.818 Lu
0.500 0.000 0.498 Hf
```

Summary:
Volume: 27.13 Å³ per atom
Total magnetic moment: 0.00 μB per formula unit
Crystal system: orthorhombic
Energy of formation from the pure elements: 0.065 eV per atom
Space group: Pmm2 (25)
Energy above the most stable polymorph in this dataset: 1 meV/atom